Density functional theory data (PBE-GGA) for an optimized crystal structure of Pm3Nd2Sc2.

Summary:
Energy above the lowest structure with this stoichiometry, eV per atom: 0.0000
Electronic total energy, eV/atom: -5.1619
Formation energy from the elements, eV per atom: 0.045
N(E_F), states/eV/atom: 1.498

Cell: 11.148 5.005 7.994 Å, 90.00 98.32 90.00°
Space group C2/m (No. 12)
One atom of each set of equivalent atoms:
Pm1 0.000 0.000 0.000 (multiplicity 2)
Pm2 0.215 0.500 0.142 (multiplicity 4)
Nd1 0.140 0.000 0.428 (multiplicity 4)
Sc1 0.072 0.500 0.709 (multiplicity 4)

=====

Density functional theory data (PBE-GGA) for an optimized crystal structure of NaYSi2O6.

Summary:
Energy above the lowest structure with this stoichiometry, eV per atom: 0.0000
Electronic total energy, eV/atom: -7.7471
N(E_F), states/eV/atom: 0.000

Cell: 5.476 13.896 7.698 Å, 90.00 109.79 90.00°
Space group P2_1/c (No. 14)
One atom of each set of equivalent atoms:
Na1 0.135 0.225 0.052 (multiplicity 4)
Y1 0.016 0.506 0.752 (multiplicity 4)
Si1 0.417 0.637 0.066 (multiplicity 4)
Si2 0.427 0.641 0.643 (multiplicity 4)
O1 0.198 0.562 0.080 (multiplicity 4)
O2 0.208 0.568 0.515 (multiplicity 4)
O3 0.269 0.134 0.832 (multiplicity 4)
O4 0.287 0.122 0.305 (multiplicity 4)
O5 0.317 0.748 0.081 (multiplicity 4)
O6 0.381 0.622 0.844 (multiplicity 4)

=====

Density functional theory data (PBE-GGA) for an optimized crystal structure of UAl4Sn.

Summary:
Electronic total energy, eV/atom: -4.9980
Formation energy from the elements, eV per atom: 0.046
N(E_F), states/eV/atom: 1.278

Cell: 7.801 7.801 7.801 Å, 90.00 90.00 90.00°
Space group F-43m (No. 216)
One atom of each set of equivalent atoms:
U1 0.000 0.000 0.000 (multiplicity 4)
Al1 0.125 0.125 0.625 (multiplicity 16)
Sn1 0.250 0.250 0.250 (multiplicity 4)